# BaIn2Ni

A relaxed BaIn2Ni crystal (PBE, Alexandria via LeMat-Bulk).

a b c (Å): 3.5817 5.8344 10.3826
angles (deg): 90.00 90.00 90.00
Space group Immm (No. 71)
Unique sites:
Ba 0.0000 0.0000 0.0000
In 0.0000 0.5000 0.1927
Ni 0.0000 0.0000 0.5000

Computed properties:
Fermi-level density of states (states/eV/cell): 5.65

***

# HoNbCo2

A relaxed HoNbCo2 crystal (PBE, Alexandria via LeMat-Bulk).

a b c (Å): 4.5761 4.5761 3.0915
angles (deg): 90.00 90.00 90.00
Space group P4/mmm (No. 123)
Unique sites:
Ho 0.0000 0.0000 0.0000
Nb 0.5000 0.5000 0.0000
Co 0.0000 0.5000 0.5000

Computed properties:
E above lowest polymorph (meV/atom): 108
Fermi-level density of states (states/eV/cell): 3.84

***

In order of appearance, E_form = -0.065 -0.008 eV per atom.
In order of appearance, theoretical density = 6.52 9.64 Mg/m³.